Entry 1:
## TaTlSb2Os (GGA-PBEsol)

Data for a relaxed structure of TaTlSb2Os.

Values from the calculation:
E_tot   -0.2048 Ha/atom
Total magnetization   3.46 Bohr magnetons per cell

Cell and atoms, written as extended XYZ:
```
5
Lattice="5.207 0.000 0.000 0.000 5.207 0.000 0.000 0.000 5.326" Properties=species:S:1:pos:R:3 pbc="T T T"
Ta 0.000 0.000 0.000
Tl 0.000 0.000 2.663
Sb 0.000 2.604 0.000
Sb 2.604 0.000 0.000
Os 2.604 2.604 2.663
```


Entry 2:
## Tc2SbOs (GGA-PBEsol)

Data for a relaxed structure of Tc2SbOs.

Values from the calculation:
E_tot   -0.3446 Ha/atom
Total magnetization   0.00 Bohr magnetons per cell

Cell and atoms, written as extended XYZ:
```
4
Lattice="0.000 3.131 3.131 3.131 0.000 3.131 3.131 3.131 0.000" Properties=species:S:1:pos:R:3 pbc="T T T"
Tc 0.000 0.000 0.000
Tc 1.565 1.565 1.565
Sb 3.131 3.131 3.131
Os 4.696 4.696 4.696
```


Short version: formation energy (no corrections) = 1.730, 0.450 eV/atom, in the order given.